SrNd2Fe2O7: optimized geometry, PBE with a Hubbard U.

Output
SG	I4mm (107)
total DFT energy (no corrections)	-7.2181	eV/atom

a b c (Å): 10.591 10.591 10.591
angles (deg): 158.69 158.69 30.32
Each line ends with the local moment (μB).
Fractional positions:
Sr1 0.685 0.685 0.000  0.00
Nd1 0.509 0.509 0.000  0.00
Nd2 0.320 0.320 0.000  0.01
Fe1 0.903 0.903 0.000  4.38
Fe2 0.102 0.102 0.000  4.37
O1 0.398 0.898 0.500  0.17
O2 0.898 0.398 0.500  0.17
O3 0.591 0.091 0.500  0.17
O4 0.091 0.591 0.500  0.17
O5 0.800 0.800 0.000  0.09
O6 0.203 0.203 0.000  0.11
O7 0.999 0.999 0.000  0.18